Ce2PrPb: relaxed, PBE.

a = 3.369 Å, b = 3.369 Å, c = 37.097 Å
α = 90.00°, β = 90.00°, γ = 120.00°
Positions (direct):
Ce: 0.000 0.000 0.090
Ce: 0.000 0.000 0.910
Ce: 0.333 0.667 0.576
Ce: 0.333 0.667 0.757
Ce: 0.667 0.333 0.243
Ce: 0.667 0.333 0.424
Pr: 0.000 0.000 0.000
Pr: 0.333 0.667 0.667
Pr: 0.667 0.333 0.333
Pb: 0.000 0.000 0.500
Pb: 0.333 0.667 0.167
Pb: 0.667 0.333 0.833

* raw total energy: -4.99 eV per atom
* excess energy over the best structure of this formula in the dataset: 396 meV/atom